# NbVF2 (PBE+U, relaxed)
# Final energy   -0.40356 Ry per atom
data_NbVF2
_symmetry_space_group_name_H-M 'F m -3 m'
_symmetry_Int_Tables_number 225
_symmetry_space_group_name_Hall '-F 4 2 3'
_cell_length_a 5.995
_cell_length_b 5.995
_cell_length_c 5.995
_cell_angle_alpha 90.00
_cell_angle_beta 90.00
_cell_angle_gamma 90.00
loop_
_atom_site_label
_atom_site_fract_x
_atom_site_fract_y
_atom_site_fract_z
Nb1 0.000 0.000 0.000
V1 0.000 0.000 0.500
F1 0.250 0.250 0.250